Material: Rb2CrPtO4
Method: DFT, PBE with a Hubbard U
State: relaxed

```
data_Rb2CrPtO4
_space_group_name_H-M_alt 'P 1'
_space_group_IT_number 1
_cell_length_a 5.0390
_cell_length_b 6.6439
_cell_length_c 10.8118
_cell_angle_alpha 84.93
_cell_angle_beta 76.52
_cell_angle_gamma 67.71
loop_
_space_group_symop_operation_xyz
'x,y,z'
loop_
_atom_site_label
_atom_site_fract_x
_atom_site_fract_y
_atom_site_fract_z
Cr1 0.0000 0.0000 0.0000
Pt1 0.5000 0.0000 0.0000
O1 0.6922 0.1764 0.1014
O2 0.6185 0.3236 0.6014
Rb1 0.9241 0.5000 0.1518
O3 0.5436 0.6764 0.3986
Rb2 0.8259 0.0000 0.3482
O4 0.7801 0.6764 0.6014
Pt2 0.2500 0.5000 0.5000
O5 0.2064 0.8236 0.1014
Cr2 0.7500 0.5000 0.5000
O6 0.0578 0.3236 0.3986
Rb3 0.1741 0.0000 0.6518
O7 0.1315 0.1764 0.8986
Rb4 0.5759 0.5000 0.8482
O8 0.9699 0.8236 0.8986
```

Results
Symmetry ... Fddd, No. 70
VASP energy ... -43.47 eV per formula unit